1.
This record from the Alexandria database describes an optimized crystal structure of Tl2GaIr. The functional is GGA-PBEsol.

Properties
calculated total energy	-4.1477	eV/atom
space-group type	Fm-3m, No. 225
volume	19.88	Å³ per atom
theoretical density	14.01	g/cm³
ΔH_f (0 K)	0.46	eV/atom

Cell and atoms, written as POSCAR:
```
Tl2GaIr
1.0
4.8267 0.0000 0.0000
2.4134 4.1801 0.0000
2.4134 1.3934 3.9410
Ga Tl Ir
1 2 1
Cartesian
0.0000 0.0000 0.0000
2.4134 1.3934 0.9853
7.2401 4.1801 2.9558
4.8267 2.7867 1.9705
```

---

2.
This record from the Alexandria database describes an optimized crystal structure of TcB2SN. The functional is GGA-PBEsol.

Properties
calculated total energy	-5.9309	eV/atom
space-group type	P4/mmm, No. 123
volume	9.77	Å³ per atom
theoretical density	5.63	g/cm³

Cell and atoms, written as POSCAR:
```
TcB2SN
1.0
3.3919 0.0000 0.0000
0.0000 3.7958 0.0000
0.0000 0.0000 3.7958
B N S Tc
2 1 1 1
Cartesian
0.0000 0.0000 1.8979
0.0000 1.8979 0.0000
1.6959 0.0000 0.0000
0.0000 0.0000 0.0000
1.6959 1.8979 1.8979
```

---

3.
This record from the Alexandria database describes an optimized crystal structure of NiH12Br2O14. The functional is GGA-PBEsol.

Properties
calculated total energy	-4.8029	eV/atom
space-group type	P-3, No. 147
volume	10.11	Å³ per atom
theoretical density	2.57	g/cm³

Cell and atoms, written as POSCAR:
```
NiH12Br2O14
1.0
-1.7958 -0.4431 5.5203
0.0507 -7.6033 -0.5938
6.2572 3.6846 2.3313
H O Ni Br
12 14 1 2
Cartesian
3.3213 -2.7044 5.2655
3.7204 -4.7882 2.5640
-0.1267 -2.4539 1.5390
1.1908 -1.6573 1.9924
-0.0776 -5.4527 1.2751
3.6780 -3.1911 2.7175
3.2641 1.8999 5.5773
4.5897 1.0909 5.9828
0.7917 0.4265 4.6939
0.8341 -1.1706 4.5404
1.2480 -6.2616 1.6805
4.6388 -1.9078 5.7189
5.1554 -0.2506 3.3653
-0.6433 -4.1111 3.8926
1.5473 -5.5159 4.4925
4.2033 1.9909 5.8657
2.9461 -1.5073 2.5457
2.5757 -0.4759 6.3137
0.3089 -6.3526 1.3922
0.2384 -1.5628 1.7537
0.2815 -0.3652 4.4008
4.2306 -3.9965 2.8571
1.5660 -2.8544 4.7122
4.2737 -2.7989 5.5042
1.9364 -3.8858 0.9442
2.9648 1.1541 2.7654
-0.8979 -0.2215 2.7602
3.8695 -0.1567 2.3366
0.6426 -4.2050 4.9212
```

---

4.
This record from the Alexandria database describes an optimized crystal structure of Ho2Au. The functional is GGA-PBEsol.

Properties
calculated total energy	-5.2673	eV/atom
space-group type	Pnma, No. 62
volume	24.59	Å³ per atom
theoretical density	11.86	g/cm³
ΔH_f (0 K)	-0.66	eV/atom

Cell and atoms, written as POSCAR:
```
Ho2Au
1.0
-3.2636 -3.5859 -0.3395
2.3449 -1.5341 -6.3375
5.7767 -5.5880 3.4901
Ho Au
8 4
Cartesian
4.6202 -8.8005 -3.6516
-1.1600 -3.6796 -2.1743
0.2378 -1.9075 0.4646
6.0180 -7.0284 -1.0127
1.9570 -6.3277 -4.1683
2.9010 -4.3803 0.9813
2.2439 -3.4810 -2.2005
2.6141 -7.2270 -0.9865
4.9673 -6.3132 1.5330
0.4849 -5.3368 -0.4838
-0.1094 -4.3948 -4.7200
4.3730 -5.3712 -2.7032
```